(1)
Computed, not measured: a geometry-optimized TmPuAgS4 structure at the GGA-PBE level of DFT.

Cell and atoms, written as POSCAR:
```
TmPuAgS4
1.0
-3.909 4.029 5.553
3.909 -4.029 5.553
3.909 4.029 -5.553
Tm Pu Ag S
2 2 2 8
direct
0.500 0.000 0.000
0.500 0.500 0.500
0.000 0.000 0.000
0.500 0.000 0.500
0.118 0.368 0.750
0.882 0.632 0.250
0.256 0.237 0.481
0.256 0.776 0.019
0.261 0.241 0.019
0.278 0.759 0.519
0.722 0.241 0.481
0.739 0.759 0.981
0.744 0.224 0.981
0.744 0.763 0.519
```

## Properties
space-group type	Imma
Fermi-level density of states	1.61	states/eV per atom
uncorrected energy	-6.80	eV/atom

(2)
Computed, not measured: a geometry-optimized Pu3VAg3S8 structure at the GGA-PBE level of DFT.

Cell and atoms, written as POSCAR:
```
Pu3VAg3S8
1.0
6.554 -3.926 0.000
6.554 3.926 0.000
-4.224 0.000 6.386
Pu V Ag S
3 1 3 8
direct
0.000 0.000 0.000
0.000 0.500 0.500
0.500 0.000 0.500
0.500 0.500 0.000
0.000 0.500 0.000
0.500 0.000 0.000
0.500 0.500 0.500
0.248 0.248 0.253
0.268 0.728 0.772
0.271 0.271 0.767
0.272 0.732 0.228
0.728 0.268 0.772
0.729 0.729 0.233
0.732 0.272 0.228
0.752 0.752 0.747
```

## Properties
space-group type	C2/m
Fermi-level density of states	1.89	states/eV per atom
uncorrected energy	-7.22	eV/atom

Calculated energy relative to the elements, uncorrected (eV/f.u.), listed in the same order as above: -9.45 -14.60